## TiVO3 (PBE with a Hubbard U)

Data for TiVO3 after structural relaxation.

Geometry as POSCAR:
```
TiVO3
1.0
2.587 1.494 4.755
-2.587 1.494 4.755
0.000 -2.988 4.755
Ti V O
2 2 6
Direct
0.145 0.145 0.145
0.855 0.855 0.855
0.349 0.349 0.349
0.651 0.651 0.651
0.049 0.436 0.778
0.222 0.951 0.564
0.436 0.778 0.049
0.564 0.222 0.951
0.778 0.049 0.436
0.951 0.564 0.222
```

Values from the calculation:
Total moment = 3.0 μB per formula unit
VASP energy = -85.68 eV per cell
Symmetry = R-3 (148)

***

## Ti3V2O9 (PBE with a Hubbard U)

Data for Ti3V2O9 after structural relaxation.

Geometry as POSCAR:
```
Ti3V2O9
1.0
10.916 -2.575 0.000
10.916 2.575 0.000
-1.976 0.000 6.450
Ti V O
6 4 18
Direct
0.000 0.000 0.000
0.000 0.000 0.500
0.037 0.311 0.073
0.311 0.037 0.573
0.689 0.963 0.427
0.963 0.689 0.927
0.415 0.456 0.085
0.456 0.415 0.585
0.544 0.585 0.415
0.585 0.544 0.915
0.018 0.811 0.985
0.189 0.982 0.515
0.191 0.203 0.848
0.197 0.803 0.750
0.203 0.191 0.348
0.301 0.628 0.368
0.325 0.362 0.974
0.362 0.325 0.474
0.372 0.699 0.132
0.628 0.301 0.868
0.638 0.675 0.526
0.675 0.638 0.026
0.699 0.372 0.632
0.797 0.809 0.652
0.803 0.197 0.250
0.809 0.797 0.152
0.811 0.018 0.485
0.982 0.189 0.015
```

Values from the calculation:
Total moment = 4.0 μB per formula unit
E above lowest polymorph = 0 meV per atom
Symmetry = C2/c (15)

***

## Ti2VO4 (PBE with a Hubbard U)

Data for Ti2VO4 after structural relaxation.

Geometry as POSCAR:
```
Ti2VO4
1.0
0.000 5.059 2.949
4.992 0.000 2.949
4.992 5.059 0.000
Ti V O
4 2 8
Direct
0.230 0.770 0.273
0.523 0.977 0.480
0.770 0.230 0.727
0.977 0.523 0.020
0.260 0.260 0.740
0.510 0.510 0.990
0.219 0.304 0.449
0.222 0.801 0.946
0.258 0.714 0.567
0.304 0.219 0.028
0.683 0.789 0.992
0.714 0.258 0.461
0.789 0.683 0.536
0.801 0.222 0.031
```

Values from the calculation:
Total moment = 1.0 μB per formula unit
DOS(E_F) = 2.4 states/eV/f.u.
VASP energy = -120.73 eV per cell
Symmetry = Fdd2 (43)

***

## TiVO3 (PBE with a Hubbard U)

Data for TiVO3 after structural relaxation.

Geometry as POSCAR:
```
TiVO3
1.0
5.378 0.000 0.000
0.000 2.684 0.000
-2.688 0.000 4.688
Ti V O
1 1 3
Direct
0.000 0.000 0.000
0.331 0.000 0.661
0.161 0.500 0.329
0.170 0.500 0.843
0.672 0.500 0.836
```

Values from the calculation:
Total moment = 2.3 μB per formula unit
DOS(E_F) = 2.4 states/eV/f.u.
VASP energy = -41.66 eV per cell
Symmetry = Pm (6)

***

## Ti3VO8 (PBE with a Hubbard U)

Data for Ti3VO8 after structural relaxation.

Geometry as POSCAR:
```
Ti3VO8
1.0
2.690 -4.544 0.000
2.690 4.544 0.000
0.000 0.000 5.781
Ti V O
3 1 8
Direct
0.000 0.000 0.000
0.000 0.500 0.756
0.500 0.000 0.244
0.000 0.000 0.500
0.205 0.275 0.753
0.212 0.788 0.500
0.223 0.777 0.000
0.275 0.205 0.247
0.725 0.795 0.247
0.777 0.223 0.000
0.788 0.212 0.500
0.795 0.725 0.753
```

Values from the calculation:
Total moment = 1.0 μB per formula unit
E above lowest polymorph = 0 meV per atom
Symmetry = C222 (21)

***

## Ti15VO24 (PBE with a Hubbard U)

Data for Ti15VO24 after structural relaxation.

Geometry as POSCAR:
```
Ti15VO24
1.0
5.534 0.000 0.000
0.818 9.068 0.000
0.818 3.307 8.444
Ti V O
15 1 24
Direct
0.000 0.000 0.000
0.000 0.249 0.252
0.002 0.499 0.502
0.116 0.153 0.656
0.116 0.654 0.155
0.117 0.404 0.905
0.118 0.903 0.404
0.499 0.251 0.750
0.499 0.501 0.001
0.501 0.749 0.249
0.502 0.999 0.499
0.616 0.654 0.653
0.616 0.904 0.904
0.619 0.154 0.153
0.999 0.749 0.750
0.618 0.404 0.405
0.151 0.608 0.953
0.153 0.201 0.859
0.153 0.701 0.358
0.154 0.106 0.453
0.299 0.358 0.553
0.307 0.858 0.046
0.308 0.795 0.608
0.309 0.296 0.109
0.463 0.452 0.796
0.465 0.046 0.701
0.465 0.552 0.194
0.465 0.952 0.295
0.650 0.702 0.858
0.652 0.108 0.952
0.654 0.612 0.452
0.657 0.193 0.359
0.808 0.359 0.047
0.808 0.797 0.108
0.808 0.857 0.546
0.811 0.295 0.613
0.962 0.545 0.703
0.964 0.951 0.797
0.965 0.046 0.202
0.973 0.451 0.297
```

Values from the calculation:
Total moment = 1.8 μB per formula unit
DOS(E_F) = 10.3 states/eV/f.u.
VASP energy = -358.47 eV per cell
Symmetry = P1 (1)

***

## TiV3O (PBE with a Hubbard U)

Data for TiV3O after structural relaxation.

Geometry as POSCAR:
```
TiV3O
1.0
4.608 0.000 0.000
0.000 4.608 0.000
0.000 0.000 4.608
Ti V O
1 3 1
Direct
0.000 0.000 0.000
0.000 0.000 0.500
0.000 0.500 0.000
0.500 0.000 0.000
0.500 0.500 0.500
```

Values from the calculation:
Total moment = 6.8 μB per formula unit
E above lowest polymorph = 1987 meV per atom
DOS(E_F) = 5.2 states/eV/f.u.
Symmetry = Pm-3m (221)

***

## Ti2VO2 (PBE with a Hubbard U)

Data for Ti2VO2 after structural relaxation.

Geometry as POSCAR:
```
Ti2VO2
1.0
-1.821 1.821 4.955
1.821 -1.821 4.955
1.821 1.821 -4.955
Ti V O
2 1 2
Direct
0.157 0.157 0.000
0.843 0.843 0.000
0.500 0.500 0.000
0.250 0.750 0.500
0.750 0.250 0.500
```

Values from the calculation:
Total moment = 3.1 μB per formula unit
E above lowest polymorph = 0 meV per atom
DOS(E_F) = 3.5 states/eV/f.u.
Symmetry = I4/mmm (139)